No. 1
VASP calculation (PBE) on Nd6Sm5Sc after structural relaxation.

Calculated values
Energy of formation   25 meV per atom

Cell: 5.140 10.222 9.587 Å, 122.22 105.56 90.00°
Atoms (fractional coordinates):
Sm 0.665 0.165 0.330
Sm 0.000 0.500 0.000
Sm 0.666 0.666 0.332
Sm 0.335 0.835 0.670
Sm 0.334 0.334 0.668
Nd 0.500 0.245 0.000
Nd 0.835 0.588 0.670
Nd 0.165 0.918 0.330
Nd 0.165 0.412 0.330
Nd 0.835 0.082 0.670
Nd 0.500 0.755 0.000
Sc 0.000 0.000 0.000

No. 2
VASP calculation (PBE) on CePuS2N after structural relaxation.

Calculated values
ΔE_f (raw)   -788 kJ/mol of formula units

Cell: 3.926 3.926 13.703 Å, 90.00 90.00 90.00°
Atoms (fractional coordinates):
Ce 0.500 0.000 0.585
Ce 0.000 0.500 0.415
N 0.000 0.000 0.500
N 0.500 0.500 0.500
S 0.500 0.000 0.909
S 0.000 0.500 0.697
S 0.000 0.500 0.091
S 0.500 0.000 0.303
Pu 0.000 0.500 0.885
Pu 0.500 0.000 0.115

No. 3
VASP calculation (PBE) on LiPuAs2 after structural relaxation.

Calculated values
Energy of formation   -784 meV per atom
Energy above the lowest structure with this stoichiometry   0 meV per atom

Cell: 3.931 3.931 10.255 Å, 90.00 90.00 90.00°
Atoms (fractional coordinates):
As 0.500 0.500 0.500
As 0.000 0.500 0.830
As 0.500 0.000 0.170
As 0.000 0.000 0.500
Pu 0.500 0.000 0.725
Pu 0.000 0.500 0.275
Li 0.000 0.000 0.000
Li 0.500 0.500 0.000

No. 4
VASP calculation (PBE) on Sm2Y7Er4 after structural relaxation.

Calculated values
Energy of formation   23 meV per atom

Cell: 9.423 7.956 6.161 Å, 97.43 96.20 65.10°
Atoms (fractional coordinates):
Er 0.229 0.617 0.307
Er 0.847 0.924 0.461
Er 0.153 0.076 0.539
Er 0.771 0.383 0.693
Y 0.000 0.000 0.000
Y 0.538 0.769 0.386
Y 0.462 0.231 0.614
Y 0.693 0.845 0.923
Y 0.923 0.462 0.232
Y 0.307 0.155 0.077
Y 0.077 0.538 0.768
Sm 0.616 0.308 0.154
Sm 0.384 0.692 0.846

No. 5
VASP calculation (PBE) on PaHgC2O8 after structural relaxation.

Calculated values
ΔE_f (raw)   -1766 kJ/mol of formula units

Cell: 5.273 5.273 8.222 Å, 104.36 104.36 61.16°
Atoms (fractional coordinates):
O 0.768 0.768 0.395
O 0.839 0.416 0.167
O 0.161 0.161 0.854
O 0.839 0.839 0.146
O 0.584 0.161 0.833
O 0.232 0.232 0.605
O 0.416 0.839 0.167
O 0.161 0.584 0.833
Pa 0.000 0.000 0.000
Hg 0.000 0.000 0.500
C 0.717 0.717 0.216
C 0.283 0.283 0.784

No. 6
VASP calculation (PBE) on Ac6SbIr2I3 after structural relaxation.

Calculated values
ΔE_f (raw)   -1216 kJ/mol of formula units

Cell: 7.921 7.921 8.930 Å, 98.50 98.50 119.99°
Atoms (fractional coordinates):
Ac 0.300 0.300 0.810
Ac 0.700 0.700 0.190
Ac 0.936 0.572 0.809
Ac 0.064 0.428 0.191
Ac 0.572 0.936 0.809
Ac 0.428 0.064 0.191
I 0.840 0.160 0.500
I 0.500 0.500 0.500
I 0.160 0.840 0.500
Ir 0.667 0.333 0.000
Ir 0.333 0.667 0.000
Sb 0.000 0.000 0.000

No. 7
VASP calculation (PBE) on RbPa2CuS5 after structural relaxation.

Calculated values
ΔE_f (raw)   -1198 kJ/mol of formula units

Cell: 7.664 7.664 8.755 Å, 115.95 115.95 90.00°
Atoms (fractional coordinates):
S 0.481 0.267 0.248
S 0.981 0.481 0.248
S 0.267 0.767 0.248
S 0.233 0.019 0.752
S 0.767 0.981 0.248
S 0.500 0.500 0.000
S 0.519 0.733 0.752
S 0.019 0.519 0.752
S 0.000 0.000 0.000
S 0.733 0.233 0.752
Pa 0.339 0.839 0.000
Pa 0.661 0.161 0.000
Pa 0.839 0.661 0.000
Pa 0.161 0.339 0.000
Rb 0.750 0.750 0.500
Rb 0.250 0.250 0.500
Cu 0.750 0.250 0.500
Cu 0.250 0.750 0.500

No. 8
VASP calculation (PBE) on Nd2DySe2S2 after structural relaxation.

Calculated values
ΔE_f (raw)   -1097 kJ/mol of formula units

Cell: 5.078 5.078 8.300 Å, 107.81 107.81 90.00°
Atoms (fractional coordinates):
Nd 0.377 0.377 0.754
Nd 0.623 0.623 0.246
S 0.000 0.500 0.000
S 0.500 0.000 0.000
Se 0.814 0.814 0.628
Se 0.186 0.186 0.372
Dy 0.000 0.000 0.000

Number 1: volume 404.1 Å³/cell, Fermi-level density of states 17.489 states/eV/cell. Number 2: volume 211.2 Å³/cell, Fermi-level density of states 15.569 states/eV/cell. Number 3: volume 158.5 Å³/cell, Fermi-level density of states 16.804 states/eV/cell. Number 4: volume 414.6 Å³/cell, Fermi-level density of states 18.936 states/eV/cell. Number 5: volume 191.8 Å³/cell, Fermi-level density of states 6.002 states/eV/cell. Number 6: volume 463.6 Å³/cell, Fermi-level density of states 5.469 states/eV/cell. Number 7: volume 403.9 Å³/cell, Fermi-level density of states 10.482 states/eV/cell. Number 8: volume 192.9 Å³/cell, Fermi-level density of states 2.767 states/eV/cell.